{"formula": "Nd2YH4", "functional": "PBE", "state": "relaxed", "cell": [[-2.028, 2.028, 6.719], [2.028, -2.028, 6.719], [2.028, 2.028, -6.719]], "species": ["Nd", "Nd", "Y", "H", "H", "H", "H"], "frac_coords": [[0.165, 0.165, 0.000], [0.835, 0.835, 0.000], [0.500, 0.500, 0.000], [0.000, 0.500, 0.500], [0.336, 0.336, 0.000], [0.500, 0.000, 0.500], [0.664, 0.664, 0.000]], "e_tot_ev_per_atom": -4.479, "n_ef_per_ev_cell": 5.040}